Entry a
Ru2Se after structural relaxation, computed with PBE.

a = 3.045 Å, b = 3.045 Å, c = 20.024 Å
α = 90.00°, β = 90.00°, γ = 90.00°
Fractional positions:
1 Ru 0.000 0.250 0.303
2 Ru 0.000 0.250 0.447
3 Ru 0.000 0.750 0.553
4 Ru 0.000 0.750 0.697
5 Ru 0.500 0.250 0.053
6 Ru 0.500 0.250 0.197
7 Ru 0.500 0.750 0.803
8 Ru 0.500 0.750 0.947
9 Se 0.000 0.250 0.875
10 Se 0.000 0.750 0.125
11 Se 0.500 0.250 0.625
12 Se 0.500 0.750 0.375

---

Entry b
Ru2Se after structural relaxation, computed with PBE.

a = 6.328 Å, b = 6.328 Å, c = 3.930 Å
α = 90.00°, β = 90.00°, γ = 120.00°
Fractional positions:
1 Ru 0.000 0.268 0.000
2 Ru 0.000 0.619 0.500
3 Ru 0.268 0.000 0.000
4 Ru 0.381 0.381 0.500
5 Ru 0.619 0.000 0.500
6 Ru 0.732 0.732 0.000
7 Se 0.000 0.000 0.500
8 Se 0.333 0.667 0.000
9 Se 0.667 0.333 0.000

---

Stability ranking, top entry: entry b; the second entry is 0.143 eV/atom less favorable.